Entry from Alexandria via LeMat-Bulk: an optimized crystal structure of SrRe2Os (PBE).

Cell: 2.816 2.816 9.081 Å, 90.00 90.00 90.00°
Space group P4/mmm (No. 123)
Inequivalent atoms, fractional coordinates:
Sr 0.000 0.000 0.000 (multiplicity 1)
Re 0.500 0.500 0.297 (multiplicity 2)
Os 0.000 0.000 0.500 (multiplicity 1)

Its crystal system is tetragonal. The value obtained for the density of states at the Fermi level is 5.15 states/eV per cell. For the energy relative to the lowest polymorph listed for this composition, the calculation gives 0.070 eV per atom. For the formation energy, the calculation gives 730 meV/atom. For the magnetization, the calculation gives 0.00 μB per formula unit.